# 1
Material: Mo3Se
Method: DFT, PBE
State: optimized geometry

Raw formation energy = 0.16 eV/atom
SG = Pnma (62)
Excess energy over the best structure of this formula in the dataset = 0.00 eV per formula unit
DOS(E_F) = 3.8 states/eV/f.u.
Total moment = 0.00 Bohr magnetons per cell

Lattice parameters (Å, degrees): 6.052 5.377 7.870 90.00 90.00 90.00
Fractional positions:
Mo 0.210 0.040 0.750
Mo 0.917 0.745 0.543
Mo 0.583 0.245 0.957
Mo 0.917 0.745 0.957
Mo 0.710 0.460 0.250
Mo 0.290 0.540 0.750
Mo 0.417 0.755 0.457
Mo 0.083 0.255 0.457
Mo 0.083 0.255 0.043
Mo 0.417 0.755 0.043
Mo 0.790 0.960 0.250
Mo 0.583 0.245 0.543
Se 0.891 0.361 0.750
Se 0.609 0.861 0.750
Se 0.109 0.639 0.250
Se 0.391 0.139 0.250

---

# 2
Material: Cu2CS
Method: DFT, PBE
State: optimized geometry

Raw formation energy = 1.25 eV/atom
SG = Fm-3m (225)
Excess energy over the best structure of this formula in the dataset = 1.88 eV per formula unit
DOS(E_F) = 2.7 states/eV/f.u.
Total moment = 0.00 Bohr magnetons per cell

Lattice parameters (Å, degrees): 4.037 4.037 4.037 60.00 60.00 60.00
Fractional positions:
Cu 0.750 0.750 0.750
Cu 0.250 0.250 0.250
S 0.500 0.500 0.500
C 0.000 0.000 0.000

---

# 3
Material: Be2Te
Method: DFT, PBE
State: optimized geometry

Raw formation energy = 0.76 eV/atom
SG = Fd-3m (227)
Excess energy over the best structure of this formula in the dataset = 2.22 eV per formula unit
DOS(E_F) = 1.0 states/eV/f.u.
Total moment = 0.00 Bohr magnetons per cell

Lattice parameters (Å, degrees): 5.070 5.070 5.070 60.00 60.00 60.00
Fractional positions:
Be 0.625 0.125 0.125
Be 0.125 0.125 0.625
Be 0.125 0.625 0.125
Be 0.125 0.125 0.125
Te 0.500 0.500 0.500
Te 0.750 0.750 0.750

---

# 4
Material: CuSb2Pd5
Method: DFT, PBE
State: optimized geometry

Raw formation energy = 0.02 eV/atom
SG = Cmcm (63)
DOS(E_F) = 4.6 states/eV/f.u.
Total moment = 0.00 Bohr magnetons per cell

Lattice parameters (Å, degrees): 4.122 8.181 11.043 90.00 90.00 104.59
Fractional positions:
Pd 0.767 0.534 0.250
Pd 0.971 0.942 0.874
Pd 0.029 0.058 0.374
Pd 0.971 0.942 0.626
Pd 0.270 0.539 0.420
Pd 0.029 0.058 0.126
Pd 0.233 0.466 0.750
Pd 0.730 0.461 0.580
Pd 0.730 0.461 0.920
Pd 0.270 0.539 0.080
Cu 0.162 0.325 0.250
Cu 0.838 0.675 0.750
Sb 0.127 0.254 0.563
Sb 0.127 0.254 0.937
Sb 0.873 0.746 0.437
Sb 0.873 0.746 0.063

---

# 5
Material: CaIrW2
Method: DFT, PBE
State: optimized geometry

SG = Immm (71)
Excess energy over the best structure of this formula in the dataset = 0.00 eV per formula unit
DOS(E_F) = 2.8 states/eV/f.u.
ΔH_f (0 K) = 0.29 eV/atom
Total moment = 0.00 Bohr magnetons per cell

Lattice parameters (Å, degrees): 6.201 6.201 4.848 66.96 66.96 25.94
Fractional positions:
W 0.543 0.543 0.457
W 0.957 0.957 0.043
Ca 0.750 0.750 0.750
Ir 0.250 0.250 0.250

---

# 6
Material: Tb5AlHg2
Method: DFT, PBE
State: optimized geometry

SG = I4/mcm (140)
DOS(E_F) = 8.5 states/eV/f.u.
ΔH_f (0 K) = -0.31 eV/atom
Total moment = 0.00 Bohr magnetons per cell

Lattice parameters (Å, degrees): 8.261 8.261 8.731 118.23 118.23 90.00
Fractional positions:
Tb 0.191 0.004 0.695
Tb 0.996 0.496 0.305
Tb 0.691 0.191 0.695
Tb 0.309 0.809 0.305
Tb 0.000 0.000 0.000
Tb 0.496 0.309 0.305
Tb 0.809 0.996 0.305
Tb 0.004 0.504 0.695
Tb 0.500 0.500 0.000
Tb 0.504 0.691 0.695
Hg 0.362 0.862 0.000
Hg 0.638 0.138 0.000
Hg 0.138 0.362 0.000
Hg 0.862 0.638 0.000
Al 0.750 0.750 0.500
Al 0.250 0.250 0.500

---

Question: Which of these has the highest DOS(E_F)?
Answer: Tb5AlHg2

---

What did the fifth record say?
Material: CaIrW2
Method: DFT, PBE
State: optimized geometry

SG = Immm (71)
Excess energy over the best structure of this formula in the dataset = 0.00 eV per formula unit
DOS(E_F) = 2.8 states/eV/f.u.
ΔH_f (0 K) = 0.29 eV/atom
Total moment = 0.00 Bohr magnetons per cell

Lattice parameters (Å, degrees): 6.201 6.201 4.848 66.96 66.96 25.94
Fractional positions:
W 0.543 0.543 0.457
W 0.957 0.957 0.043
Ca 0.750 0.750 0.750
Ir 0.250 0.250 0.250

---

Question: Number 6 is which compound?
Answer: Tb5AlHg2

---

Please write out number 3 again, unchanged.
Material: Be2Te
Method: DFT, PBE
State: optimized geometry

Raw formation energy = 0.76 eV/atom
SG = Fd-3m (227)
Excess energy over the best structure of this formula in the dataset = 2.22 eV per formula unit
DOS(E_F) = 1.0 states/eV/f.u.
Total moment = 0.00 Bohr magnetons per cell

Lattice parameters (Å, degrees): 5.070 5.070 5.070 60.00 60.00 60.00
Fractional positions:
Be 0.625 0.125 0.125
Be 0.125 0.125 0.625
Be 0.125 0.625 0.125
Be 0.125 0.125 0.125
Te 0.500 0.500 0.500
Te 0.750 0.750 0.750